[1]
The following is a DFT calculation (meta-GGA SCAN) of a crystal of SrReAs2 relaxed with PBEsol.

Cell and atoms, written as POSCAR:
```
SrReAs2
1.0
3.3447 0.0000 0.0000
0.0000 3.3447 0.0000
0.0000 0.0000 7.1213
Sr As Re
1 2 1
Direct
0.5000 0.5000 0.7527 Sr
0.5000 0.5000 0.2852 As
0.0000 0.0000 0.0497 As
0.0000 0.0000 0.4124 Re
```

## Properties
DFT total energy   -33.37 eV per atom
M_tot   0.00 μB/f.u.



[2]
The following is a DFT calculation (meta-GGA SCAN) of a crystal of LiFeF4 relaxed with PBEsol.

Cell and atoms, written as POSCAR:
```
LiFeF4
1.0
-0.9802 -4.8556 0.6695
0.7629 -1.0752 -5.5273
4.7411 1.6932 1.8421
Li F Fe
2 8 2
Direct
0.5303 0.7326 0.5765 Li
0.9820 0.9744 0.4824 Li
0.2113 0.8780 0.2494 F
0.8256 0.5434 0.7818 F
0.1910 0.4327 0.2037 F
0.6554 0.6502 0.2139 F
0.7546 0.1750 0.2619 F
0.7731 0.0335 0.7241 F
0.3171 0.3287 0.7666 F
0.2676 0.7851 0.7532 F
0.7551 0.3134 0.9962 Fe
0.2396 0.6157 0.9860 Fe
```

## Properties
ΔE to the lowest computed polymorph   151 meV per atom
DFT total energy   -8.31 eV per atom
M_tot   1.00 μB/f.u.
Formation energy without anion corrections   -2.5253 eV/atom



Repeat the second record exactly.
The following is a DFT calculation (meta-GGA SCAN) of a crystal of LiFeF4 relaxed with PBEsol.

Cell and atoms, written as POSCAR:
```
LiFeF4
1.0
-0.9802 -4.8556 0.6695
0.7629 -1.0752 -5.5273
4.7411 1.6932 1.8421
Li F Fe
2 8 2
Direct
0.5303 0.7326 0.5765 Li
0.9820 0.9744 0.4824 Li
0.2113 0.8780 0.2494 F
0.8256 0.5434 0.7818 F
0.1910 0.4327 0.2037 F
0.6554 0.6502 0.2139 F
0.7546 0.1750 0.2619 F
0.7731 0.0335 0.7241 F
0.3171 0.3287 0.7666 F
0.2676 0.7851 0.7532 F
0.7551 0.3134 0.9962 Fe
0.2396 0.6157 0.9860 Fe
```

## Properties
ΔE to the lowest computed polymorph   151 meV per atom
DFT total energy   -8.31 eV per atom
M_tot   1.00 μB/f.u.
Formation energy without anion corrections   -2.5253 eV/atom